# 1
TbThHg6: optimized geometry, PBE.

extended XYZ file:
```
8
Lattice="-2.845 -4.114 0.057 5.094 -3.484 2.779 -4.486 3.156 3.966" Properties=species:S:1:pos:R:3 pbc="T T T"
Hg 1.104 -0.718 3.273
Hg 2.831 -4.958 2.912
Hg 0.349 -3.261 1.563
Hg 0.645 -3.420 4.838
Hg -1.443 1.024 1.879
Hg -1.138 0.859 5.261
Th -3.683 2.600 3.866
Tb -1.923 -1.663 3.501
```

Summary:
D(E_F): 0.737 states/eV/atom
ΔE_f: -28.1 kJ/mol of atoms
crystal system: orthorhombic
total magnetization: 0.00 μB per formula unit
total energy: -16.2 eV for the cell shown
symmetry: Amm2, No. 38

***

# 2
Tb5ThHg4: optimized geometry, PBE.

extended XYZ file:
```
10
Lattice="3.691 0.000 0.000 0.000 3.691 0.000 0.000 0.000 19.904" Properties=species:S:1:pos:R:3 pbc="T T T"
Hg 0.000 0.000 8.053
Hg 0.000 0.000 11.851
Hg 0.000 0.000 4.250
Hg 0.000 0.000 15.654
Tb 1.845 1.845 17.557
Tb 1.845 1.845 13.730
Tb 1.845 1.845 9.952
Tb 1.845 1.845 2.347
Tb 1.845 1.845 6.174
Th 0.000 0.000 0.000
```

Summary:
D(E_F): 1.025 states/eV/atom
ΔE_f: -37.3 kJ/mol of atoms
crystal system: tetragonal
total magnetization: 0.38 μB per formula unit
total energy: -35.6 eV for the cell shown
symmetry: P4/mmm, No. 123

***

# 3
TbThHg: optimized geometry, PBE.

extended XYZ file:
```
6
Lattice="3.582 0.000 0.000 0.000 5.485 0.000 -1.791 0.000 8.810" Properties=species:S:1:pos:R:3 pbc="T T T"
Tb 0.000 1.371 1.523
Tb 1.791 4.113 7.287
Th 1.791 1.371 4.834
Th 0.000 4.113 3.976
Hg 0.000 1.371 7.697
Hg 1.791 4.113 1.113
```

Summary:
relative energy among the computed polymorphs: 0 meV/atom
D(E_F): 1.092 states/eV/atom
ΔE_f: -21.9 kJ/mol of atoms
crystal system: orthorhombic
total magnetization: 0.00 μB per formula unit
total energy: -26.1 eV for the cell shown
symmetry: Cmcm, No. 63

***

# 4
Tb3ThHg6: optimized geometry, PBE.

extended XYZ file:
```
20
Lattice="-4.222 -2.297 1.972 -4.504 1.413 -7.997 5.103 -10.008 -0.731" Properties=species:S:1:pos:R:3 pbc="T T T"
Th -1.515 -5.470 0.650
Th -2.108 -5.423 -7.406
Hg -4.074 -5.494 -4.854
Hg -2.680 -0.852 -3.308
Hg -0.943 -10.041 -3.447
Hg -3.232 -2.491 -6.397
Hg -6.929 -1.303 -6.085
Hg -2.961 -8.478 -5.947
Hg -3.301 -4.126 -1.607
Hg 3.306 -9.590 -0.670
Hg 0.451 -5.398 -1.901
Hg -0.322 -6.767 -5.148
Hg -0.391 -8.402 -0.359
Hg -0.662 -2.415 -0.808
Tb -4.184 -1.443 -0.373
Tb 1.467 -8.118 -2.893
Tb -1.382 -3.729 -3.880
Tb 0.561 -9.450 -6.382
Tb -5.090 -2.775 -3.863
Tb -2.241 -7.164 -2.876
```

Summary:
D(E_F): 0.748 states/eV/atom
ΔE_f: -35.7 kJ/mol of atoms
crystal system: monoclinic
total magnetization: 0.00 μB per formula unit
total energy: -53.6 eV for the cell shown
symmetry: P2_1/m, No. 11